# 1
# PBE DyTiSe2, relaxed
# - Density: 7.20 g/cm3
# - Energy relative to the lowest polymorph listed for this composition: 0 kJ/mol of formula units
# - E_form (uncorrected): -1.310 eV/atom
# - Calculated total energy: -6.176 eV/atom
# - D(E_F): 2.8 states/eV per cell
data_DyTiSe2
_symmetry_space_group_name_H-M 'P 1'
_symmetry_Int_Tables_number 1
_symmetry_space_group_name_Hall 'P 1'
_cell_length_a 7.096
_cell_length_b 7.096
_cell_length_c 7.096
_cell_angle_alpha 31.16
_cell_angle_beta 31.16
_cell_angle_gamma 31.16
loop_
_atom_site_label
_atom_site_fract_x
_atom_site_fract_y
_atom_site_fract_z
Dy1 0.000 0.000 0.000
Ti1 0.175 0.175 0.175
Se1 0.576 0.576 0.576
Se2 0.761 0.761 0.761

=====

# 2
# PBE Dy3TiTl3Se8, relaxed
# - Density: 6.60 g/cm3
# - E_form (uncorrected): -1.302 eV/atom
# - Calculated total energy: -5.080 eV/atom
data_Dy3TiTl3Se8
_symmetry_space_group_name_H-M 'P 1'
_symmetry_Int_Tables_number 1
_symmetry_space_group_name_Hall 'P 1'
_cell_length_a 9.149
_cell_length_b 9.149
_cell_length_c 9.149
_cell_angle_alpha 52.65
_cell_angle_beta 52.65
_cell_angle_gamma 52.65
loop_
_atom_site_label
_atom_site_fract_x
_atom_site_fract_y
_atom_site_fract_z
Dy1 0.000 0.500 0.500
Dy2 0.500 0.000 0.500
Dy3 0.500 0.500 0.000
Ti1 0.000 0.000 0.000
Tl1 0.000 0.000 0.500
Tl2 0.000 0.500 0.000
Tl3 0.500 0.000 0.000
Se1 0.218 0.218 0.758
Se2 0.218 0.758 0.218
Se3 0.242 0.782 0.782
Se4 0.265 0.265 0.265
Se5 0.735 0.735 0.735
Se6 0.758 0.218 0.218
Se7 0.782 0.242 0.782
Se8 0.782 0.782 0.242

=====

# 3
# PBE Dy3TiTl4Se8, relaxed
# - Density: 7.30 g/cm3
# - E_form (uncorrected): -1.220 eV/atom
# - Calculated total energy: -4.910 eV/atom
# - D(E_F): 6.2 states/eV per cell
data_Dy3TiTl4Se8
_symmetry_space_group_name_H-M 'P 1'
_symmetry_Int_Tables_number 1
_symmetry_space_group_name_Hall 'P 1'
_cell_length_a 9.099
_cell_length_b 9.099
_cell_length_c 9.099
_cell_angle_alpha 53.50
_cell_angle_beta 53.50
_cell_angle_gamma 53.50
loop_
_atom_site_label
_atom_site_fract_x
_atom_site_fract_y
_atom_site_fract_z
Dy1 0.000 0.500 0.500
Dy2 0.500 0.000 0.500
Dy3 0.500 0.500 0.000
Ti1 0.000 0.000 0.000
Tl1 0.000 0.000 0.500
Tl2 0.000 0.500 0.000
Tl3 0.500 0.000 0.000
Tl4 0.500 0.500 0.500
Se1 0.224 0.224 0.751
Se2 0.224 0.751 0.224
Se3 0.249 0.776 0.776
Se4 0.264 0.264 0.264
Se5 0.736 0.736 0.736
Se6 0.751 0.224 0.224
Se7 0.776 0.249 0.776
Se8 0.776 0.776 0.249

=====

# 4
# PBE Dy2TiTl3Se6, relaxed
# - Density: 7.28 g/cm3
# - E_form (uncorrected): -1.172 eV/atom
# - Calculated total energy: -4.931 eV/atom
# - D(E_F): 6.3 states/eV per cell
data_Dy2TiTl3Se6
_symmetry_space_group_name_H-M 'P 1'
_symmetry_Int_Tables_number 1
_symmetry_space_group_name_Hall 'P 1'
_cell_length_a 7.032
_cell_length_b 7.032
_cell_length_c 8.123
_cell_angle_alpha 98.37
_cell_angle_beta 98.37
_cell_angle_gamma 119.91
loop_
_atom_site_label
_atom_site_fract_x
_atom_site_fract_y
_atom_site_fract_z
Dy1 0.165 0.835 0.000
Dy2 0.835 0.165 0.000
Ti1 0.500 0.500 0.000
Tl1 0.000 0.000 0.500
Tl2 0.327 0.673 0.500
Tl3 0.673 0.327 0.500
Se1 0.122 0.435 0.803
Se2 0.254 0.254 0.205
Se3 0.435 0.122 0.803
Se4 0.565 0.878 0.197
Se5 0.746 0.746 0.795
Se6 0.878 0.565 0.197

=====

# 5
# PBE Dy4TlSe2, relaxed
# - Density: 8.85 g/cm3
# - Energy relative to the lowest polymorph listed for this composition: 0 kJ/mol of formula units
# - E_form (uncorrected): -1.123 eV/atom
# - Calculated total energy: -5.086 eV/atom
# - D(E_F): 9.8 states/eV per cell
data_Dy4TlSe2
_symmetry_space_group_name_H-M 'P 1'
_symmetry_Int_Tables_number 1
_symmetry_space_group_name_Hall 'P 1'
_cell_length_a 7.021
_cell_length_b 7.021
_cell_length_c 13.916
_cell_angle_alpha 90.00
_cell_angle_beta 90.00
_cell_angle_gamma 146.39
loop_
_atom_site_label
_atom_site_fract_x
_atom_site_fract_y
_atom_site_fract_z
Dy1 0.000 0.000 0.000
Dy2 0.000 0.000 0.500
Dy3 0.269 0.731 0.622
Dy4 0.269 0.731 0.878
Dy5 0.430 0.570 0.250
Dy6 0.570 0.430 0.750
Dy7 0.731 0.269 0.122
Dy8 0.731 0.269 0.378
Tl1 0.105 0.895 0.250
Tl2 0.895 0.105 0.750
Se1 0.364 0.636 0.058
Se2 0.364 0.636 0.442
Se3 0.636 0.364 0.558
Se4 0.636 0.364 0.942

=====

# 6
# PBE DyTl5Se4, relaxed
# - Density: 7.49 g/cm3
# - E_form (uncorrected): -0.763 eV/atom
# - Calculated total energy: -3.800 eV/atom
data_DyTl5Se4
_symmetry_space_group_name_H-M 'P 1'
_symmetry_Int_Tables_number 1
_symmetry_space_group_name_Hall 'P 1'
_cell_length_a 9.780
_cell_length_b 9.780
_cell_length_c 8.728
_cell_angle_alpha 110.33
_cell_angle_beta 110.33
_cell_angle_gamma 25.24
loop_
_atom_site_label
_atom_site_fract_x
_atom_site_fract_y
_atom_site_fract_z
Dy1 0.000 0.000 0.000
Tl1 0.000 0.000 0.500
Tl2 0.310 0.310 0.687
Tl3 0.345 0.345 0.198
Tl4 0.655 0.655 0.802
Tl5 0.690 0.690 0.313
Se1 0.158 0.158 0.046
Se2 0.474 0.474 0.760
Se3 0.526 0.526 0.240
Se4 0.842 0.842 0.954

=====

# 7
# PBE Dy4TlSe2, relaxed
# - Density: 8.77 g/cm3
# - Energy relative to the lowest polymorph listed for this composition: 35 kJ/mol of formula units
# - E_form (uncorrected): -1.072 eV/atom
# - Calculated total energy: -5.035 eV/atom
# - D(E_F): 5.8 states/eV per cell
data_Dy4TlSe2
_symmetry_space_group_name_H-M 'P 1'
_symmetry_Int_Tables_number 1
_symmetry_space_group_name_Hall 'P 1'
_cell_length_a 14.724
_cell_length_b 14.724
_cell_length_c 14.724
_cell_angle_alpha 15.22
_cell_angle_beta 15.22
_cell_angle_gamma 15.22
loop_
_atom_site_label
_atom_site_fract_x
_atom_site_fract_y
_atom_site_fract_z
Dy1 0.134 0.134 0.134
Dy2 0.281 0.281 0.281
Dy3 0.719 0.719 0.719
Dy4 0.866 0.866 0.866
Tl1 0.000 0.000 0.000
Se1 0.426 0.426 0.426
Se2 0.574 0.574 0.574

=====

# 8
# PBE Dy3Tl5Se12, relaxed
# - Density: 6.90 g/cm3
# - E_form (uncorrected): -0.700 eV/atom
# - Calculated total energy: -4.072 eV/atom
# - D(E_F): 26.4 states/eV per cell
data_Dy3Tl5Se12
_symmetry_space_group_name_H-M 'P 1'
_symmetry_Int_Tables_number 1
_symmetry_space_group_name_Hall 'P 1'
_cell_length_a 14.537
_cell_length_b 14.537
_cell_length_c 14.537
_cell_angle_alpha 109.47
_cell_angle_beta 109.47
_cell_angle_gamma 109.47
loop_
_atom_site_label
_atom_site_fract_x
_atom_site_fract_y
_atom_site_fract_z
Dy1 0.125 0.250 0.375
Dy2 0.125 0.375 0.750
Dy3 0.250 0.375 0.125
Dy4 0.250 0.875 0.625
Dy5 0.375 0.125 0.250
Dy6 0.375 0.750 0.125
Dy7 0.625 0.250 0.875
Dy8 0.625 0.875 0.750
Dy9 0.750 0.125 0.375
Dy10 0.750 0.625 0.875
Dy11 0.875 0.625 0.250
Dy12 0.875 0.750 0.625
Tl1 0.000 0.000 0.000
Tl2 0.000 0.000 0.500
Tl3 0.000 0.500 0.000
Tl4 0.000 0.500 0.500
Tl5 0.125 0.750 0.875
Tl6 0.125 0.875 0.250
Tl7 0.250 0.125 0.875
Tl8 0.250 0.625 0.375
Tl9 0.375 0.250 0.625
Tl10 0.375 0.625 0.750
Tl11 0.500 0.000 0.000
Tl12 0.500 0.000 0.500
Tl13 0.500 0.500 0.000
Tl14 0.500 0.500 0.500
Tl15 0.625 0.375 0.250
Tl16 0.625 0.750 0.375
Tl17 0.750 0.375 0.625
Tl18 0.750 0.875 0.125
Tl19 0.875 0.125 0.750
Tl20 0.875 0.250 0.125
Se1 0.056 0.230 0.142
Se2 0.056 0.327 0.915
Se3 0.085 0.642 0.412
Se4 0.085 0.944 0.673
Se5 0.088 0.730 0.673
Se6 0.088 0.858 0.415
Se7 0.142 0.056 0.230
Se8 0.142 0.585 0.912
Se9 0.173 0.230 0.588
Se10 0.173 0.444 0.585
Se11 0.230 0.142 0.056
Se12 0.230 0.588 0.173
Se13 0.270 0.327 0.912
Se14 0.270 0.444 0.358
Se15 0.327 0.912 0.270
Se16 0.327 0.915 0.056
Se17 0.358 0.270 0.444
Se18 0.358 0.588 0.915
Se19 0.412 0.085 0.642
Se20 0.412 0.827 0.770
Se21 0.415 0.088 0.858
Se22 0.415 0.827 0.556
Se23 0.444 0.358 0.270
Se24 0.444 0.585 0.173
Se25 0.556 0.415 0.827
Se26 0.556 0.642 0.730
Se27 0.585 0.173 0.444
Se28 0.585 0.912 0.142
Se29 0.588 0.173 0.230
Se30 0.588 0.915 0.358
Se31 0.642 0.412 0.085
Se32 0.642 0.730 0.556
Se33 0.673 0.085 0.944
Se34 0.673 0.088 0.730
Se35 0.730 0.556 0.642
Se36 0.730 0.673 0.088
Se37 0.770 0.412 0.827
Se38 0.770 0.858 0.944
Se39 0.827 0.556 0.415
Se40 0.827 0.770 0.412
Se41 0.858 0.415 0.088
Se42 0.858 0.944 0.770
Se43 0.912 0.142 0.585
Se44 0.912 0.270 0.327
Se45 0.915 0.056 0.327
Se46 0.915 0.358 0.588
Se47 0.944 0.673 0.085
Se48 0.944 0.770 0.858

=====

# 9
# PBE Dy3TlSe, relaxed
# - Density: 9.26 g/cm3
# - Energy relative to the lowest polymorph listed for this composition: 0 kJ/mol of formula units
# - E_form (uncorrected): -0.854 eV/atom
# - Calculated total energy: -4.786 eV/atom
# - D(E_F): 16.6 states/eV per cell
data_Dy3TlSe
_symmetry_space_group_name_H-M 'P 1'
_symmetry_Int_Tables_number 1
_symmetry_space_group_name_Hall 'P 1'
_cell_length_a 9.081
_cell_length_b 4.018
_cell_length_c 15.157
_cell_angle_alpha 90.00
_cell_angle_beta 90.00
_cell_angle_gamma 90.00
loop_
_atom_site_label
_atom_site_fract_x
_atom_site_fract_y
_atom_site_fract_z
Dy1 0.035 0.250 0.114
Dy2 0.160 0.250 0.521
Dy3 0.204 0.750 0.279
Dy4 0.296 0.250 0.779
Dy5 0.340 0.750 0.021
Dy6 0.465 0.750 0.614
Dy7 0.535 0.250 0.386
Dy8 0.660 0.250 0.979
Dy9 0.704 0.750 0.221
Dy10 0.796 0.250 0.721
Dy11 0.840 0.750 0.479
Dy12 0.965 0.750 0.886
Tl1 0.067 0.750 0.676
Tl2 0.433 0.250 0.176
Tl3 0.567 0.750 0.824
Tl4 0.933 0.250 0.324
Se1 0.165 0.250 0.945
Se2 0.335 0.750 0.445
Se3 0.665 0.250 0.555
Se4 0.835 0.750 0.055